#A
4
Lattice="3.708 0.000 0.000 0.000 3.708 0.000 0.000 0.000 9.329" Properties=species:S:1:pos:R:3 comment="LaPm2In, relaxed, DFT PBE" m_tot_mub_per_fu=0.00 pbc="T T T"
La 0.000 0.000 0.000
Pm 1.854 1.854 2.591
Pm 1.854 1.854 6.738
In 0.000 0.000 4.665



#B
4
Lattice="5.020 0.000 0.000 0.000 5.020 0.000 0.000 0.000 4.930" Properties=species:S:1:pos:R:3 comment="LaPm2In, relaxed, DFT PBE" m_tot_mub_per_fu=0.00 pbc="T T T"
La 0.000 0.000 0.000
Pm 0.000 2.510 2.465
Pm 2.510 0.000 2.465
In 2.510 2.510 0.000



#C
4
Lattice="1.777 1.026 12.096 -1.777 1.026 12.096 0.000 -2.052 12.096" Properties=species:S:1:pos:R:3 comment="LaPm2In, relaxed, DFT PBE" m_tot_mub_per_fu=0.00 pbc="T T T"
La 0.000 0.000 0.000
Pm 0.000 0.000 3.467
Pm 0.000 0.000 32.820
In 0.000 0.000 18.144



#D
4
Lattice="1.868 1.079 11.094 -1.868 1.079 11.094 0.000 -2.157 11.094" Properties=species:S:1:pos:R:3 comment="LaPm2In, relaxed, DFT PBE" m_tot_mub_per_fu=0.00 pbc="T T T"
La 0.000 0.000 0.000
Pm 0.000 0.000 19.152
Pm 0.000 0.000 25.248
In 0.000 0.000 5.550



Sorted by energy, starting with the most stable: #B, #A, #D, #C.



#A
16
Lattice="2.672 -6.186 0.000 2.672 6.186 0.000 0.000 0.000 16.499" Properties=species:S:1:pos:R:3 comment="La5PmIn2, relaxed, DFT PBE" m_tot_mub_per_fu=0.00 pbc="T T T"
La 2.672 5.738 9.985
La 2.672 5.738 14.763
La 2.672 1.769 8.679
La 2.672 1.769 16.069
La 2.672 0.471 4.125
La 2.672 -0.471 12.374
La 2.672 -1.769 0.429
La 2.672 -1.769 7.820
La 2.672 -5.738 1.736
La 2.672 -5.738 6.514
Pm 2.672 2.901 12.374
Pm 2.672 -2.901 4.125
In 2.672 3.406 2.422
In 2.672 3.406 5.828
In 2.672 -3.406 10.671
In 2.672 -3.406 14.077



#B
16
Lattice="7.144 0.000 0.000 0.000 14.283 0.000 0.000 0.000 5.032" Properties=species:S:1:pos:R:3 comment="La5PmIn2, relaxed, DFT PBE" m_tot_mub_per_fu=0.00 pbc="T T T"
La 0.000 0.000 0.000
La 0.095 3.610 0.000
La 1.753 12.508 2.516
La 1.819 5.366 2.516
La 3.477 10.751 0.000
La 3.572 7.141 0.000
La 3.667 3.532 0.000
La 5.325 8.917 2.516
La 5.391 1.775 2.516
La 7.049 10.673 0.000
Pm 0.000 7.141 0.000
Pm 3.572 0.000 0.000
In 1.730 8.903 2.516
In 1.842 1.762 2.516
In 5.302 12.521 2.516
In 5.414 5.380 2.516



Sorted by energy, starting with the most stable: #B, #A.



#A
20
Lattice="-5.859 5.859 5.859 5.859 -5.859 5.859 5.859 5.859 -5.859" Properties=species:S:1:pos:R:3 comment="La12Pm7In, relaxed, DFT PBE" m_tot_mub_per_fu=0.00 pbc="T T T"
La 5.859 3.076 -3.058
La 2.801 0.000 2.782
La 8.917 0.000 2.782
La 2.782 2.801 0.000
La 3.076 -3.058 5.859
La 0.000 2.782 2.801
La 5.859 3.076 3.058
La 2.782 8.917 0.000
La 3.076 3.058 5.859
La -3.058 5.859 3.076
La 3.058 5.859 3.076
La 0.000 2.782 8.917
Pm 2.929 2.929 -2.929
Pm 2.929 -2.929 2.929
Pm 5.859 0.000 0.000
Pm -2.929 2.929 2.929
Pm 0.000 5.859 0.000
Pm 0.000 0.000 5.859
Pm 2.929 2.929 2.929
In 0.000 0.000 0.000



#B
20
Lattice="6.277 3.624 5.161 -6.277 3.624 5.161 0.000 -7.248 5.161" Properties=species:S:1:pos:R:3 comment="La12Pm7In, relaxed, DFT PBE" m_tot_mub_per_fu=0.00 pbc="T T T"
La -5.517 0.641 6.444
La -3.314 -4.457 9.040
La -0.914 -3.352 7.070
La -3.360 -0.884 8.413
La 2.203 -5.098 6.444
La -2.446 2.467 7.070
La 2.446 -2.467 8.413
La -2.203 5.098 9.040
La 3.360 0.884 7.070
La 0.914 3.352 8.413
La 3.314 4.457 6.444
La 5.517 -0.641 9.040
Pm 0.000 0.000 0.000
Pm -1.956 -0.564 4.721
Pm 1.467 -1.412 4.721
Pm 0.489 1.976 4.721
Pm -0.489 -1.976 10.762
Pm -1.467 1.412 10.762
Pm 1.956 0.564 10.762
In 0.000 0.000 7.742



Sorted by energy, starting with the most stable: #B, #A.



#A
8
Lattice="5.133 0.000 0.000 0.000 5.133 0.000 0.000 0.000 10.422" Properties=species:S:1:pos:R:3 comment="La6PmIn, relaxed, DFT PBE" m_tot_mub_per_fu=0.00 pbc="T T T"
La 0.000 0.000 0.000
La 0.000 0.000 5.211
La 0.000 2.567 2.538
La 0.000 2.567 7.883
La 2.567 0.000 2.538
La 2.567 0.000 7.883
Pm 2.567 2.567 5.211
In 2.567 2.567 0.000



#B
8
Lattice="6.624 0.000 0.000 -3.312 5.760 0.000 -0.011 -3.789 8.576" Properties=species:S:1:pos:R:3 comment="La6PmIn, relaxed, DFT PBE" m_tot_mub_per_fu=0.03 pbc="T T T"
La -1.273 1.682 2.421
La 0.775 -1.841 6.150
La 2.105 0.307 2.409
La 1.196 1.664 6.166
La 2.526 3.812 2.426
La 4.574 0.289 6.155
Pm 3.306 -1.895 4.288
In 0.000 0.000 0.000



Sorted by energy, starting with the most stable: #A, #B.



#A
12
Lattice="8.839 -3.245 0.000 8.839 3.245 0.000 -0.008 0.000 7.044" Properties=species:S:1:pos:R:3 comment="La2Pm3In, relaxed, DFT PBE" m_tot_mub_per_fu=0.00 pbc="T T T"
La 3.121 0.171 1.751
La 3.117 -0.171 5.273
La 14.552 0.171 1.771
La 14.548 -0.171 5.293
Pm 8.837 2.058 1.761
Pm 6.356 0.003 3.521
Pm 6.352 -0.003 7.043
Pm 11.318 0.003 0.002
Pm 11.314 -0.003 3.524
Pm 8.833 -2.058 5.283
In 8.833 1.263 5.283
In 8.837 -1.263 1.761



#B
6
Lattice="2.497 -7.840 0.000 2.497 7.840 0.000 0.000 0.000 5.003" Properties=species:S:1:pos:R:3 comment="La2Pm3In, relaxed, DFT PBE" m_tot_mub_per_fu=0.00 pbc="T T T"
La 2.497 5.271 0.000
La 2.497 -5.271 0.000
Pm 0.000 0.000 2.502
Pm 2.497 2.496 2.502
Pm 2.497 -2.496 2.502
In 2.497 0.000 0.000



Sorted by energy, starting with the most stable: #B, #A.



#A
10
Lattice="-5.453 5.453 3.033 5.453 -5.453 3.033 5.453 5.453 -3.033" Properties=species:S:1:pos:R:3 comment="La4Pm5In, relaxed, DFT PBE" m_tot_mub_per_fu=0.00 pbc="T T T"
La 3.345 0.000 0.000
La 7.560 0.000 0.000
La 0.000 3.345 0.000
La 0.000 7.560 0.000
Pm 0.000 0.000 1.274
Pm 3.429 3.429 -0.022
Pm 2.024 -2.024 3.011
Pm -2.024 2.024 3.011
Pm 2.024 2.024 3.011
In 0.000 0.000 4.410



#B
10
Lattice="4.282 0.000 0.000 0.000 4.282 0.000 0.000 0.000 18.477" Properties=species:S:1:pos:R:3 comment="La4Pm5In, relaxed, DFT PBE" m_tot_mub_per_fu=0.00 pbc="T T T"
La 0.000 0.000 1.937
La 0.000 0.000 5.614
La 0.000 0.000 12.862
La 0.000 0.000 16.540
Pm 2.141 2.141 0.000
Pm 2.141 2.141 3.902
Pm 2.141 2.141 7.640
Pm 2.141 2.141 10.836
Pm 2.141 2.141 14.575
In 0.000 0.000 9.238



Sorted by energy, starting with the most stable: #B, #A.